No. 1
The following is a GGA-PBEsol calculation of an optimized crystal structure of Y2TlCo, from Alexandria.

a = 3.383 Å, b = 3.383 Å, c = 7.686 Å
α = 90.00°, β = 90.00°, γ = 90.00°
Space group P4/mmm (No. 123)
Inequivalent atoms, fractional coordinates:
Y: 0.000 0.000 0.208 x2
Tl: 0.500 0.500 0.500 x1
Co: 0.500 0.500 0.000 x1

Output
The value obtained for the formation enthalpy at 0 K is -6.689 kcal/mol of atoms.

---

No. 2
The following is a GGA-PBEsol calculation of an optimized crystal structure of TcMo2Pb, from Alexandria.

a = 3.084 Å, b = 3.084 Å, c = 7.177 Å
α = 90.00°, β = 90.00°, γ = 90.00°
Space group P4mm (No. 99)
Inequivalent atoms, fractional coordinates:
Tc: 0.000 0.000 0.000 x1
Mo: 0.000 0.000 0.425 x1
Mo: 0.500 0.500 0.199 x1
Pb: 0.500 0.500 0.716 x1

Output
The value obtained for the formation enthalpy at 0 K is 10.886 kcal/mol of atoms.

---

No. 3
The following is a GGA-PBEsol calculation of an optimized crystal structure of MgMnSe2, from Alexandria.

a = 3.8260 Å, b = 3.8260 Å, c = 18.7262 Å
α = 90.00°, β = 90.00°, γ = 120.00°
Space group R-3m (No. 166, hexagonal axes)
Inequivalent atoms, fractional coordinates:
Mg: 0.0000 0.0000 0.0000 x3
Mn: 0.0000 0.0000 0.5000 x3
Se: 0.0000 0.0000 0.2480 x6

Output
Its formation energy without anion corrections is -70 kJ per mole of atoms.

---

| no. | Fermi-level density of states (states/eV/atom) |
| --- | --- |
| 1 | 0.55 |
| 2 | 1.01 |
| 3 | 0.04 |